Compound: Lu2O3
Source: OQMD via LeMat-Bulk
Functional: PBE
Structure: relaxed

Results
Theoretical density   9.70 g cm⁻³
Uncorrected energy   -339.4 eV/cell
Crystal system   cubic
Space-group type   Ia-3 (206)

a b c (Å): 8.9130 8.9130 8.9130
angles (deg): 109.47 109.47 109.47
Closest atoms and distances in Å follow each position.
Atoms (fractional coordinates):
Lu1 0.0000 0.0000 0.5000  6 O 2.22
Lu2 0.0000 0.5000 0.0000  6 O 2.22
Lu3 0.0336 0.7500 0.7836  6 O 2.18-2.27
Lu4 0.2164 0.9664 0.2500  6 O 2.18-2.27
Lu5 0.2500 0.2164 0.9664  6 O 2.18-2.27
Lu6 0.2500 0.7164 0.4664  6 O 2.18-2.27
Lu7 0.2836 0.5336 0.7500  6 O 2.18-2.27
Lu8 0.4664 0.2500 0.7164  6 O 2.18-2.27
Lu9 0.5000 0.0000 0.0000  6 O 2.22
Lu10 0.5000 0.5000 0.5000  6 O 2.22
Lu11 0.5336 0.7500 0.2836  6 O 2.18-2.27
Lu12 0.7164 0.4664 0.2500  6 O 2.18-2.27
Lu13 0.7500 0.2836 0.5336  6 O 2.18-2.27
Lu14 0.7500 0.7836 0.0336  6 O 2.18-2.27
Lu15 0.7836 0.0336 0.7500  6 O 2.18-2.27
Lu16 0.9664 0.2500 0.2164  6 O 2.18-2.27
O1 0.0115 0.0444 0.2727  4 Lu 2.18-2.27
O2 0.0328 0.4885 0.7611  4 Lu 2.18-2.27
O3 0.0444 0.2727 0.0115  4 Lu 2.18-2.27
O4 0.2273 0.2717 0.7389  4 Lu 2.18-2.27
O5 0.2283 0.4556 0.4672  4 Lu 2.18-2.27
O6 0.2389 0.9672 0.5115  4 Lu 2.18-2.27
O7 0.2611 0.7727 0.7283  4 Lu 2.18-2.27
O8 0.2717 0.7389 0.2273  4 Lu 2.18-2.27
O9 0.2727 0.0115 0.0444  4 Lu 2.18-2.27
O10 0.4556 0.4672 0.2283  4 Lu 2.18-2.27
O11 0.4672 0.2283 0.4556  4 Lu 2.18-2.27
O12 0.4885 0.7611 0.0328  4 Lu 2.18-2.27
O13 0.5115 0.2389 0.9672  4 Lu 2.18-2.27
O14 0.5328 0.7717 0.5444  4 Lu 2.18-2.27
O15 0.5444 0.5328 0.7717  4 Lu 2.18-2.27
O16 0.7273 0.9885 0.9556  4 Lu 2.18-2.27
O17 0.7283 0.2611 0.7727  4 Lu 2.18-2.27
O18 0.7389 0.2273 0.2717  4 Lu 2.18-2.27
O19 0.7611 0.0328 0.4885  4 Lu 2.18-2.27
O20 0.7717 0.5444 0.5328  4 Lu 2.18-2.27
O21 0.7727 0.7283 0.2611  4 Lu 2.18-2.27
O22 0.9556 0.7273 0.9885  4 Lu 2.18-2.27
O23 0.9672 0.5115 0.2389  4 Lu 2.18-2.27
O24 0.9885 0.9556 0.7273  4 Lu 2.18-2.27